[1]
This record from Alexandria describes crystalline Sr2LiCu2Pd5 at its relaxed geometry. The functional is PBE-GGA.

Lattice parameters (Å, degrees): 9.693 9.693 3.951 90.00 90.00 90.00
Space group P4/mbm (No. 127)
Inequivalent atoms, fractional coordinates:
Sr 0.180 0.320 0.000 x4
Li 0.000 0.000 0.000 x2
Cu 0.117 0.617 0.000 x4
Pd 0.000 0.500 0.500 x2
Pd 0.062 0.794 0.500 x8

Properties
Energy: -4.33 eV/atom
Calculated formation energy: -0.3842 eV per atom
Total magnetization: 0.0 Bohr magnetons per cell



[2]
This record from Alexandria describes crystalline Sr2LiCuPd2 at its relaxed geometry. The functional is PBE-GGA.

Lattice parameters (Å, degrees): 6.160 14.673 6.136 90.00 90.00 90.00
Space group Ibam (No. 72)
Inequivalent atoms, fractional coordinates:
Sr 0.239 0.163 0.000 x8
Li 0.000 0.500 0.250 x4
Cu 0.000 0.000 0.250 x4
Pd 0.250 0.104 0.500 x8

Properties
Energy: -3.69 eV/atom
Calculated formation energy: -0.3931 eV per atom
Total magnetization: 0.0 Bohr magnetons per cell